# 1
Material: CaSbAu6
Method: DFT, PBE-GGA
State: relaxed

Lattice parameters (Å, degrees): 5.4737 5.4737 5.4737 90.00 90.00 90.00
Fractional positions:
Au (0.2504, 0.0000, 0.5000)
Au (0.5000, 0.7496, 0.0000)
Au (0.0000, 0.5000, 0.7496)
Sb (0.0000, 0.0000, 0.0000)
Ca (0.5000, 0.5000, 0.5000)
Au (0.7496, 0.0000, 0.5000)
Au (0.0000, 0.5000, 0.2504)
Au (0.5000, 0.2504, 0.0000)

E_tot: -3.4377 eV/atom
Space group: Pm-3, No. 200
N(E_F): 1.18 states/eV/f.u.
Raw formation energy: -165 kJ/mol of formula units
Volume: 164.0 Å³ per cell

***

# 2
Material: Ca3Sb2Au2
Method: DFT, PBE-GGA
State: relaxed

Lattice parameters (Å, degrees): 4.5835 6.1154 7.6674 106.55 90.00 112.01
Fractional positions:
Ca (0.5000, 0.0000, 0.0000)
Ca (0.6607, 0.3214, 0.6482)
Sb (0.9440, 0.8880, 0.6704)
Ca (0.3393, 0.6786, 0.3518)
Sb (0.0560, 0.1120, 0.3296)
Au (0.8226, 0.6451, 0.0546)
Au (0.1774, 0.3549, 0.9454)

E_tot: -3.8074 eV/atom
Space group: C2/m, No. 12
N(E_F): 2.49 states/eV/f.u.
Raw formation energy: -564 kJ/mol of formula units
Volume: 189.6 Å³ per cell

***

# 3
Material: CaScSbAu
Method: DFT, PBE-GGA
State: relaxed

Lattice parameters (Å, degrees): 5.1149 5.1149 5.1149 60.00 60.00 60.00
Fractional positions:
Sc (0.2500, 0.2500, 0.2500)
Au (0.0000, 0.0000, 0.0000)
Sb (0.5000, 0.5000, 0.5000)
Ca (0.7500, 0.7500, 0.7500)

E_tot: -4.6394 eV/atom
Space group: F-43m, No. 216
N(E_F): 3.74 states/eV/f.u.
Raw formation energy: -273 kJ/mol of formula units
Volume: 94.6 Å³ per cell

***

# 4
Material: Ca2SiSbAu6
Method: DFT, PBE-GGA
State: relaxed

Lattice parameters (Å, degrees): 5.7273 9.4257 8.7126 90.00 90.00 90.00
Fractional positions:
Au (0.5000, 0.1192, 0.7553)
Au (0.7482, 0.4529, 0.5000)
Au (0.2482, 0.5471, 0.0000)
Au (0.2431, 0.0169, 0.5000)
Ca (0.5000, 0.7484, 0.2464)
Au (0.0000, 0.8808, 0.7447)
Au (0.7518, 0.5471, 0.0000)
Au (0.2518, 0.4529, 0.5000)
Au (0.7431, 0.9831, 0.0000)
Sb (0.5000, 0.3005, 0.0000)
Au (0.2569, 0.9831, 0.0000)
Au (0.7569, 0.0169, 0.5000)
Ca (0.5000, 0.7484, 0.7536)
Si (0.5000, 0.2433, 0.5000)
Au (0.5000, 0.1192, 0.2447)
Ca (0.0000, 0.2516, 0.2536)
Si (0.0000, 0.7567, 0.0000)
Sb (0.0000, 0.6995, 0.5000)
Au (0.0000, 0.8808, 0.2553)
Ca (0.0000, 0.2516, 0.7464)

E_tot: -3.7599 eV/atom
Space group: Pmmn, No. 59
N(E_F): 3.55 states/eV/f.u.
Raw formation energy: -423 kJ/mol of formula units
Volume: 470.3 Å³ per cell

***

# 5
Material: CaSi2Sb2Au7
Method: DFT, PBE-GGA
State: relaxed

Lattice parameters (Å, degrees): 4.2882 4.2882 14.3631 85.93 85.93 88.78
Fractional positions:
Au (0.4648, 0.9655, 0.1552)
Si (0.4448, 0.4448, 0.2446)
Sb (0.8818, 0.8818, 0.4132)
Au (0.5000, 0.5000, 0.0000)
Sb (0.1182, 0.1182, 0.5868)
Au (0.5352, 0.0345, 0.8448)
Au (0.9655, 0.4648, 0.1552)
Au (0.0345, 0.5352, 0.8448)
Ca (0.0000, 0.0000, 0.0000)
Au (0.6180, 0.6180, 0.5873)
Au (0.3820, 0.3820, 0.4127)
Si (0.5552, 0.5552, 0.7554)

E_tot: -3.8195 eV/atom
Space group: C2/m, No. 12
N(E_F): 5.26 states/eV/f.u.
Raw formation energy: -174 kJ/mol of formula units
Volume: 262.8 Å³ per cell

***

# 6
Material: Ca2Si2SbAu6
Method: DFT, PBE-GGA
State: relaxed

Lattice parameters (Å, degrees): 6.5446 6.5446 9.4752 69.80 69.80 60.00
Fractional positions:
Si (0.4564, 0.4564, 0.6307)
Au (0.7677, 0.7677, 0.2644)
Au (0.2001, 0.7677, 0.2644)
Si (0.5436, 0.5436, 0.3693)
Au (0.7999, 0.2323, 0.7356)
Au (0.2323, 0.2323, 0.7356)
Au (0.7677, 0.2001, 0.2644)
Ca (0.8008, 0.8008, 0.5975)
Au (0.2323, 0.7999, 0.7356)
Sb (0.0000, 0.0000, 0.0000)
Ca (0.1992, 0.1992, 0.4025)

E_tot: -3.7659 eV/atom
Space group: R-3m, No. 166
N(E_F): 5.53 states/eV/f.u.
Raw formation energy: -269 kJ/mol of formula units
Volume: 322.3 Å³ per cell

***

# 7
Material: Ca3Si2SbAu9
Method: DFT, PBE-GGA
State: relaxed

Lattice parameters (Å, degrees): 7.8390 7.8390 6.7861 90.00 90.00 120.00
Fractional positions:
Au (0.0000, 0.5000, 0.0000)
Ca (0.3333, 0.6667, 0.6637)
Si (0.6667, 0.3333, 0.8638)
Au (0.5000, 0.5000, 0.0000)
Au (0.1777, 0.3555, 0.3173)
Si (0.3333, 0.6667, 0.1362)
Au (0.8223, 0.6445, 0.6827)
Au (0.6445, 0.8223, 0.3173)
Au (0.1777, 0.8223, 0.3173)
Ca (0.6667, 0.3333, 0.3363)
Au (0.5000, 0.0000, 0.0000)
Au (0.3555, 0.1777, 0.6827)
Au (0.8223, 0.1777, 0.6827)
Ca (0.0000, 0.0000, 0.0000)
Sb (0.0000, 0.0000, 0.5000)

E_tot: -3.6817 eV/atom
Space group: P-3m1, No. 164
N(E_F): 8.26 states/eV/f.u.
Raw formation energy: -459 kJ/mol of formula units
Volume: 361.1 Å³ per cell

***

# 8
Material: CaSmSbAu
Method: DFT, PBE-GGA
State: relaxed

Lattice parameters (Å, degrees): 5.3095 5.3095 5.3095 60.00 60.00 60.00
Fractional positions:
Au (0.5000, 0.5000, 0.5000)
Ca (0.2500, 0.2500, 0.2500)
Sb (0.0000, 0.0000, 0.0000)
Sm (0.7500, 0.7500, 0.7500)

E_tot: -4.3506 eV/atom
Space group: F-43m, No. 216
N(E_F): 3.31 states/eV/f.u.
Raw formation energy: -317 kJ/mol of formula units
Volume: 105.8 Å³ per cell

***

# 9
Material: CaSnSbAu
Method: DFT, PBE-GGA
State: relaxed

Lattice parameters (Å, degrees): 5.2906 5.2906 5.2906 60.00 60.00 60.00
Fractional positions:
Sb (0.0000, 0.0000, 0.0000)
Sn (0.2500, 0.2500, 0.2500)
Ca (0.7500, 0.7500, 0.7500)
Au (0.5000, 0.5000, 0.5000)

E_tot: -3.7488 eV/atom
Space group: F-43m, No. 216
N(E_F): 0.65 states/eV/f.u.
Raw formation energy: -153 kJ/mol of formula units
Volume: 104.7 Å³ per cell

***

# 10
Material: Ca2TcSbAu
Method: DFT, PBE-GGA
State: relaxed

Lattice parameters (Å, degrees): 5.4447 5.4447 4.9800 90.00 90.00 90.00
Last column: magnetic moment on the atom in μB.
Fractional positions:
Tc (0.0000, 0.0000, 0.0000)  1.15
Au (0.0000, 0.0000, 0.5000)  0.07
Ca (0.0000, 0.5000, 0.0000)  0.01
Sb (0.5000, 0.5000, 0.5000)  0.15
Ca (0.5000, 0.0000, 0.0000)  0.01

E_tot: -3.8797 eV/atom
Space group: P4/mmm, No. 123
N(E_F): 6.99 states/eV/f.u.
Raw formation energy: 229 kJ/mol of formula units
Volume: 147.6 Å³ per cell

***

# 11
Material: CaSbTe2Au
Method: DFT, PBE-GGA
State: relaxed

Lattice parameters (Å, degrees): 5.7069 5.7069 5.8010 90.00 90.00 90.00
Fractional positions:
Sb (0.0000, 0.0000, 0.5000)
Ca (0.0000, 0.0000, 0.0000)
Te (0.0000, 0.5000, 0.0000)
Au (0.5000, 0.5000, 0.5000)
Te (0.5000, 0.0000, 0.0000)

E_tot: -2.5819 eV/atom
Space group: P4/mmm, No. 123
N(E_F): 5.37 states/eV/f.u.
Raw formation energy: 268 kJ/mol of formula units
Polymorph energy (0 for the lowest one): 319 kJ/mol of formula units
Volume: 188.9 Å³ per cell

***

# 12
Material: CaSbTe2Au
Method: DFT, PBE-GGA
State: relaxed

Lattice parameters (Å, degrees): 5.6582 5.6582 5.1971 90.00 90.00 90.00
Fractional positions:
Te (0.0000, 0.5000, 0.0000)
Ca (0.5000, 0.5000, 0.5000)
Te (0.5000, 0.0000, 0.0000)
Au (0.0000, 0.0000, 0.0000)
Sb (0.0000, 0.0000, 0.5000)

E_tot: -3.2427 eV/atom
Space group: P4/mmm, No. 123
N(E_F): 3.55 states/eV/f.u.
Raw formation energy: -51 kJ/mol of formula units
Polymorph energy (0 for the lowest one): 0 kJ/mol of formula units
Volume: 166.4 Å³ per cell